Record 1
The following is a PBE calculation of a geometry-optimized Ba6PAu3 structure, from Alexandria.

abc: 8.006 8.787 14.399
angles: 90.00 123.24 90.00
Fractional positions:
Ba (0.092, 0.051, 0.243)
Ba (0.092, 0.449, 0.743)
Ba (0.243, 0.689, 0.074)
Ba (0.243, 0.811, 0.574)
Ba (0.393, 0.176, 0.075)
Ba (0.393, 0.324, 0.575)
Ba (0.607, 0.676, 0.425)
Ba (0.607, 0.824, 0.925)
Ba (0.757, 0.189, 0.426)
Ba (0.757, 0.311, 0.926)
Ba (0.908, 0.551, 0.257)
Ba (0.908, 0.949, 0.757)
P (0.000, 0.000, 0.000)
P (0.000, 0.500, 0.500)
Au (0.307, 0.107, 0.755)
Au (0.307, 0.393, 0.255)
Au (0.500, 0.000, 0.500)
Au (0.500, 0.500, 0.000)
Au (0.693, 0.607, 0.745)
Au (0.693, 0.893, 0.245)

The calculation puts the total magnetization at 0.0 μB per cell. For the formation energy, the calculation gives -0.654 eV/atom. For the density of states at the Fermi level, the calculation gives 15.5 states/eV/cell.

***

Record 2
The following is a PBE calculation of a geometry-optimized NdThRu structure, from Alexandria.

abc: 7.149 7.149 6.634
angles: 90.00 90.09 90.00
Fractional positions:
Nd (0.250, 0.000, 0.109)
Nd (0.250, 0.500, 0.891)
Nd (0.750, 0.000, 0.891)
Nd (0.750, 0.500, 0.109)
Th (0.000, 0.250, 0.500)
Th (0.000, 0.750, 0.500)
Th (0.500, 0.250, 0.500)
Th (0.500, 0.750, 0.500)
Ru (0.249, 0.500, 0.315)
Ru (0.251, 0.000, 0.685)
Ru (0.749, 0.000, 0.315)
Ru (0.751, 0.500, 0.685)

The calculation puts the total magnetization at 0.0 μB per cell. The value obtained for the energy above the most stable polymorph in this dataset is 0.000 eV per atom. For the formation energy, the calculation gives -0.264 eV/atom. For the density of states at the Fermi level, the calculation gives 13.6 states/eV/cell.

***

Record 3
The following is a PBE calculation of a geometry-optimized Cd2HAuI structure, from Alexandria.

abc: 5.401 5.401 5.845
angles: 90.00 90.00 90.00
Fractional positions:
Cd (0.000, 0.500, 0.000)
Cd (0.500, 0.000, 0.000)
H (0.000, 0.000, 0.500)
Au (0.500, 0.500, 0.000)
I (0.500, 0.500, 0.500)

The calculation puts the total magnetization at 1.0 μB per cell. The total energy comes out at -1.546 eV/atom. For the density of states at the Fermi level, the calculation gives 1.0 states/eV/cell.

***

Record 4
The following is a PBE calculation of a geometry-optimized K2LiNpF6 structure, from Alexandria.

abc: 6.131 6.173 10.601
angles: 90.00 125.01 90.00
Fractional positions:
K (0.242, 0.032, 0.249)
K (0.242, 0.468, 0.749)
K (0.758, 0.532, 0.251)
K (0.758, 0.968, 0.751)
Li (0.000, 0.000, 0.500)
Li (0.000, 0.500, 0.000)
Np (0.500, 0.000, 0.000)
Np (0.500, 0.500, 0.500)
F (0.168, 0.219, 0.966)
F (0.168, 0.281, 0.466)
F (0.246, 0.704, 0.965)
F (0.246, 0.796, 0.465)
F (0.307, 0.017, 0.741)
F (0.307, 0.483, 0.241)
F (0.693, 0.517, 0.759)
F (0.693, 0.983, 0.259)
F (0.754, 0.204, 0.535)
F (0.754, 0.296, 0.035)
F (0.832, 0.719, 0.534)
F (0.832, 0.781, 0.034)

The calculation puts the total magnetization at 8.0 μB per cell. The formation energy from raw total energies is -3.045 eV/atom. For the density of states at the Fermi level, the calculation gives 0.3 states/eV/cell.

***

- Number 3 is which compound?
  Cd2HAuI

***

Please write out number 3 again, unchanged.
The following is a PBE calculation of a geometry-optimized Cd2HAuI structure, from Alexandria.

abc: 5.401 5.401 5.845
angles: 90.00 90.00 90.00
Fractional positions:
Cd (0.000, 0.500, 0.000)
Cd (0.500, 0.000, 0.000)
H (0.000, 0.000, 0.500)
Au (0.500, 0.500, 0.000)
I (0.500, 0.500, 0.500)

The calculation puts the total magnetization at 1.0 μB per cell. The total energy comes out at -1.546 eV/atom. For the density of states at the Fermi level, the calculation gives 1.0 states/eV/cell.

***

Please write out number 1 again, unchanged.
The following is a PBE calculation of a geometry-optimized Ba6PAu3 structure, from Alexandria.

abc: 8.006 8.787 14.399
angles: 90.00 123.24 90.00
Fractional positions:
Ba (0.092, 0.051, 0.243)
Ba (0.092, 0.449, 0.743)
Ba (0.243, 0.689, 0.074)
Ba (0.243, 0.811, 0.574)
Ba (0.393, 0.176, 0.075)
Ba (0.393, 0.324, 0.575)
Ba (0.607, 0.676, 0.425)
Ba (0.607, 0.824, 0.925)
Ba (0.757, 0.189, 0.426)
Ba (0.757, 0.311, 0.926)
Ba (0.908, 0.551, 0.257)
Ba (0.908, 0.949, 0.757)
P (0.000, 0.000, 0.000)
P (0.000, 0.500, 0.500)
Au (0.307, 0.107, 0.755)
Au (0.307, 0.393, 0.255)
Au (0.500, 0.000, 0.500)
Au (0.500, 0.500, 0.000)
Au (0.693, 0.607, 0.745)
Au (0.693, 0.893, 0.245)

The calculation puts the total magnetization at 0.0 μB per cell. For the formation energy, the calculation gives -0.654 eV/atom. For the density of states at the Fermi level, the calculation gives 15.5 states/eV/cell.